A plane-wave DFT calculation with PBE-GGA was carried out for crystalline HoNpNi at its relaxed geometry.

Properties
ΔE_f (meV per atom): 665.2
SG: F-43m

```
HoNpNi
1.0
2.803 -3.733 0.046
-0.780 -3.541 -2.941
2.925 -0.767 -3.557
Ho Ni Np
1 1 1
direct
0.750 0.750 0.750 Ho
0.000 0.000 0.000 Ni
0.250 0.250 0.250 Np
```